First-principles (PBE) data for a relaxed Pm4Pr3ScSe8 crystal, as listed in Alexandria.

Cell: 8.3948 8.3948 20.4805 Å, 90.00 90.00 120.00°
Space group R-3m (No. 166, hexagonal axes)
One atom of each set of equivalent atoms:
Pm 0.0000 0.0000 0.0000 [3 per cell]
Pm 0.0000 0.5000 0.0000 [9 per cell]
Pr 0.0000 0.5000 0.5000 [9 per cell]
Sc 0.0000 0.0000 0.5000 [3 per cell]
Se 0.0000 0.0000 0.2520 [6 per cell]
Se 0.0150 0.5075 0.2482 [18 per cell]

Properties
Calculated volume: 1249.9 Å³ per cell
Total DFT energy (no corrections): -6.00 eV per atom
Raw formation energy: -1.78 eV per atom
Density: 6.693 g cm⁻³
D(E_F): 0.69 states/eV per atom